# 1
{"formula": "CaAl2Rh", "functional": "PBE", "state": "optimized geometry", "lattice_angstrom": [[2.1338, 1.2320, 5.3050], [-2.1338, 1.2320, 5.3050], [0.0000, -2.4639, 5.3050]], "species": ["Ca", "Al", "Al", "Rh"], "frac_coords": [[0.0000, 0.0000, 0.0000], [0.2005, 0.2005, 0.2005], [0.7995, 0.7995, 0.7995], [0.5000, 0.5000, 0.5000]], "density_g_cm3": 3.908, "sg": "R-3m, No. 166", "n_ef_per_ev_atom": 0.35, "energy_ev_per_cell": -19.3}

***

# 2
{"formula": "CaAlRh2", "functional": "PBE", "state": "optimized geometry", "lattice_angstrom": [[5.0470, -1.5284, 0.0000], [5.0470, 1.5284, 0.0000], [-1.4194, 0.0000, 4.3262]], "species": ["Ca", "Al", "Rh", "Rh"], "frac_coords": [[0.0000, 0.0000, 0.0000], [0.7791, 0.7791, 0.3620], [0.2416, 0.2416, 0.8304], [0.5015, 0.5015, 0.4899]], "density_g_cm3": 6.789, "sg": "Cm, No. 8", "n_ef_per_ev_atom": 0.77, "energy_ev_per_cell": -22.3}

***

# 3
{"formula": "CaAlRh2", "functional": "PBE", "state": "optimized geometry", "lattice_angstrom": [[2.9371, 0.0000, 0.0000], [0.0000, 3.9969, 0.0000], [0.0000, 0.0000, 5.9545]], "species": ["Ca", "Al", "Rh", "Rh"], "frac_coords": [[0.0000, 0.0000, 0.0000], [0.5000, 0.5000, 0.6452], [0.0000, 0.0000, 0.5136], [0.5000, 0.5000, 0.2368]], "density_g_cm3": 6.482, "sg": "Pmm2, No. 25", "n_ef_per_ev_atom": 1.04, "energy_ev_per_cell": -21.8}

***

What did the second record say?
{"formula": "CaAlRh2", "functional": "PBE", "state": "optimized geometry", "lattice_angstrom": [[5.0470, -1.5284, 0.0000], [5.0470, 1.5284, 0.0000], [-1.4194, 0.0000, 4.3262]], "species": ["Ca", "Al", "Rh", "Rh"], "frac_coords": [[0.0000, 0.0000, 0.0000], [0.7791, 0.7791, 0.3620], [0.2416, 0.2416, 0.8304], [0.5015, 0.5015, 0.4899]], "density_g_cm3": 6.789, "sg": "Cm, No. 8", "n_ef_per_ev_atom": 0.77, "energy_ev_per_cell": -22.3}

***

Please write out number 2 again, unchanged.
{"formula": "CaAlRh2", "functional": "PBE", "state": "optimized geometry", "lattice_angstrom": [[5.0470, -1.5284, 0.0000], [5.0470, 1.5284, 0.0000], [-1.4194, 0.0000, 4.3262]], "species": ["Ca", "Al", "Rh", "Rh"], "frac_coords": [[0.0000, 0.0000, 0.0000], [0.7791, 0.7791, 0.3620], [0.2416, 0.2416, 0.8304], [0.5015, 0.5015, 0.4899]], "density_g_cm3": 6.789, "sg": "Cm, No. 8", "n_ef_per_ev_atom": 0.77, "energy_ev_per_cell": -22.3}